Entry 1:
A plane-wave DFT calculation with GGA-PBE was carried out for an optimized crystal structure of PrTaN2O.

## Properties
Magnetic moment (μB/atom): 0.000
Raw total energy (Ry per atom): -0.65971

a b c (Å): 6.356 6.356 12.700
angles (deg): 90.00 90.00 120.00
Element x y z (fractional)
N 0.309 0.000 0.154
N 0.000 0.309 0.154
N 0.691 0.691 0.154
N 0.643 0.000 0.349
N 0.357 0.357 0.349
N 0.000 0.643 0.349
N 0.691 0.000 0.654
N 0.309 0.309 0.654
N 0.000 0.691 0.654
N 0.357 0.000 0.849
N 0.000 0.357 0.849
N 0.643 0.643 0.849
O 0.667 0.333 0.013
O 0.333 0.667 0.013
O 0.000 0.000 0.484
O 0.667 0.333 0.513
O 0.333 0.667 0.513
O 0.000 0.000 0.984
Pr 0.667 0.333 0.237
Pr 0.333 0.667 0.237
Pr 0.000 0.000 0.274
Pr 0.667 0.333 0.737
Pr 0.333 0.667 0.737
Pr 0.000 0.000 0.774
Ta 0.334 0.000 0.001
Ta 0.000 0.334 0.001
Ta 0.666 0.666 0.001
Ta 0.666 0.000 0.501
Ta 0.334 0.334 0.501
Ta 0.000 0.666 0.501

Entry 2:
A plane-wave DFT calculation with GGA-PBE was carried out for an optimized crystal structure of BeZnCoTc.

## Properties
Magnetic moment (μB/atom): 0.614
Raw total energy (Ry per atom): -0.40184
Polymorph energy (0 for the lowest one) (eV/atom): 0.114

a b c (Å): 4.061 4.061 4.061
angles (deg): 60.00 60.00 60.00
Element x y z (fractional)
Be 0.500 0.500 0.500
Co 0.750 0.750 0.750
Tc 0.250 0.250 0.250
Zn 0.000 0.000 0.000

Entry 3:
A plane-wave DFT calculation with GGA-PBE was carried out for an optimized crystal structure of Tb2ErO4.

## Properties
Magnetic moment (μB/atom): 0.062
Raw total energy (Ry per atom): -0.59007

a b c (Å): 6.751 6.751 6.751
angles (deg): 119.99 90.01 119.99
Element x y z (fractional)
Er 0.000 0.000 0.000
Er 0.750 0.500 0.250
O 0.141 0.761 0.380
O 0.620 0.239 0.380
O 0.620 0.761 0.380
O 0.130 0.261 0.391
O 0.620 0.239 0.859
O 0.130 0.739 0.870
O 0.130 0.261 0.870
O 0.609 0.739 0.870
Tb 0.375 0.750 0.125
Tb 0.375 0.250 0.625
Tb 0.375 0.750 0.625
Tb 0.875 0.250 0.625

Entry 4:
A plane-wave DFT calculation with GGA-PBE was carried out for an optimized crystal structure of Ag5TePO4.

## Properties
Raw total energy (Ry per atom): -0.34679

a b c (Å): 7.004 7.004 7.363
angles (deg): 90.00 90.00 90.00
Element x y z (fractional)
Ag 0.528 0.528 0.197
Ag 0.972 0.528 0.197
Ag 0.528 0.972 0.197
Ag 0.972 0.972 0.197
Ag 0.750 0.750 0.461
Ag 0.250 0.250 0.539
Ag 0.028 0.028 0.803
Ag 0.472 0.028 0.803
Ag 0.028 0.472 0.803
Ag 0.472 0.472 0.803
O 0.567 0.250 0.379
O 0.933 0.250 0.379
O 0.250 0.567 0.379
O 0.250 0.933 0.379
O 0.750 0.067 0.621
O 0.750 0.433 0.621
O 0.067 0.750 0.621
O 0.433 0.750 0.621
P 0.750 0.250 0.500
P 0.250 0.750 0.500
Te 0.250 0.250 0.016
Te 0.750 0.750 0.984

Entry 5:
A plane-wave DFT calculation with GGA-PBE was carried out for an optimized crystal structure of LiHgIrW.

## Properties
Magnetic moment (μB/atom): 0.000
Raw total energy (Ry per atom): -0.42810
Polymorph energy (0 for the lowest one) (eV/atom): 0.000

a b c (Å): 4.441 4.441 4.441
angles (deg): 60.00 60.00 60.00
Element x y z (fractional)
Hg 0.000 0.000 0.000
Ir 0.250 0.250 0.250
Li 0.750 0.750 0.750
W 0.500 0.500 0.500

Entry 6:
A plane-wave DFT calculation with GGA-PBE was carried out for an optimized crystal structure of BaHoB.

## Properties
Magnetic moment (μB/atom): 0.000
Raw total energy (Ry per atom): -0.27692
Polymorph energy (0 for the lowest one) (eV/atom): 0.000

a b c (Å): 4.852 4.852 4.852
angles (deg): 60.00 60.00 60.00
Element x y z (fractional)
B 0.000 0.000 0.000
Ba 0.250 0.250 0.250
Ho 0.750 0.750 0.750